Record 1
DFT (PBE) results for a relaxed BaMnMo2 crystal.

Cell lengths 3.1379, 3.1379, 28.3885 Å; angles 90.00, 90.00, 120.00 degrees
Last column: nearest neighbours and their distance in Å.
Space group R-3m (No. 166, hexagonal axes)
One atom of each set of equivalent atoms:
Ba  0.0000  0.0000  0.0000  6 Ba 3.14
Mn  0.0000  0.0000  0.5000  6 Mo 2.45
Mo  0.0000  0.0000  0.2249  3 Mn 2.45

## Properties
E above lowest polymorph	173	kJ/mol of formula units



Record 2
DFT (PBE) results for a relaxed BaMn3Mo crystal.

Cell lengths 4.9342, 4.9342, 4.9342 Å; angles 90.00, 90.00, 90.00 degrees
Last column: nearest neighbours and their distance in Å.
Space group Pm-3m (No. 221)
One atom of each set of equivalent atoms:
Ba  0.0000  0.0000  0.0000  12 Mn 3.49
Mn  0.0000  0.5000  0.5000  2 Mo 2.47
Mo  0.5000  0.5000  0.5000  6 Mn 2.47

## Properties
E above lowest polymorph	0	kJ/mol of formula units



Record 3
DFT (PBE) results for a relaxed BaMnMo2 crystal.

Cell lengths 6.8408, 6.8408, 6.8408 Å; angles 90.00, 90.00, 90.00 degrees
Last column: nearest neighbours and their distance in Å.
Space group F-43m (No. 216)
One atom of each set of equivalent atoms:
Ba  0.0000  0.0000  0.0000  4 Mn 2.96, 4 Mo 2.96
Mn  0.2500  0.2500  0.7500  4 Ba 2.96, 4 Mo 2.96
Mo  0.0000  0.0000  0.5000  4 Mn 2.96, 4 Mo 2.96
Mo  0.2500  0.2500  0.2500  4 Ba 2.96, 4 Mo 2.96

## Properties
E above lowest polymorph	230	kJ/mol of formula units



One value per record, in order, for energy of formation from the pure elements: 4.305 4.298 4.900 eV/f.u..